Entry 1:
Density functional theory data (GGA-PBE) for Li3Zn7Cu2 after structural relaxation.

Cell: 5.117 5.117 8.829 Å, 73.15 73.15 60.00°
Fractional positions:
Zn 0.920 0.416 0.247
Zn 0.584 0.080 0.753
Zn 0.416 0.416 0.247
Zn 0.080 0.584 0.753
Zn 0.500 0.500 0.500
Zn 0.584 0.584 0.753
Zn 0.416 0.920 0.247
Cu 0.667 0.667 0.000
Cu 0.333 0.333 0.000
Li 0.852 0.852 0.443
Li 0.148 0.148 0.557
Li 0.000 0.000 0.000

Entry 2:
Density functional theory data (GGA-PBE) for Li2Zn2Cu5 after structural relaxation.

Cell: 3.787 5.720 5.878 Å, 106.95 90.00 109.33°
Fractional positions:
Cu 0.000 0.000 0.000
Cu 0.221 0.441 0.328
Cu 0.333 0.667 0.003
Cu 0.779 0.559 0.672
Cu 0.667 0.333 0.997
Li 0.882 0.765 0.325
Li 0.118 0.235 0.675
Zn 0.439 0.878 0.671
Zn 0.561 0.122 0.329

Entry 3:
Density functional theory data (GGA-PBE) for Li6ZnCu after structural relaxation.

Cell: 4.646 5.609 5.609 Å, 118.83 90.00 90.00°
Fractional positions:
Li 0.500 0.403 0.082
Li 0.000 0.101 0.421
Li 0.500 0.918 0.597
Li 0.000 0.579 0.899
Li 0.000 0.580 0.420
Li 0.500 0.918 0.082
Zn 0.000 0.086 0.914
Cu 0.500 0.413 0.587

| no. | excess energy over the best structure of this formula in the dataset (meV per atom) |
| --- | --- |
| 1 | 0.0 |
| 2 | 0.0 |
| 3 | 0.0 |